No. 1
Here is a geometry-optimized CaRePt2 structure from Alexandria. Energies are from PBE-GGA.

```
CaRePt2
1.0
-1.720 1.791 1.388
0.432 -1.452 2.409
6.717 5.033 1.830
Pt Re Ca
2 1 1
Cartesian
0.122 0.092 0.033 Pt
1.089 1.468 2.371 Pt
3.146 2.357 0.857 Re
4.430 3.972 3.281 Ca
```

Computed properties:
ΔE to the lowest computed polymorph = 92.5 kJ/mol of formula units
calculated density = 14717 kg/m3
DFT formation energy = -0.010 eV per atom
space-group type = No. 99
V = 69.6 Å³/cell
DFT total energy = -6.643 eV per atom

=====

No. 2
Here is a geometry-optimized CaRePt2 structure from Alexandria. Energies are from PBE-GGA.

```
CaRePt2
1.0
0.000 3.294 3.294
3.294 0.000 3.294
3.294 3.294 0.000
Ca Pt Re
1 2 1
Cartesian
0.000 0.000 0.000 Ca
1.647 1.647 1.647 Pt
4.941 4.941 4.941 Pt
3.294 3.294 3.294 Re
```

Computed properties:
ΔE to the lowest computed polymorph = 149.2 kJ/mol of formula units
calculated density = 14324 kg/m3
DFT formation energy = 0.137 eV per atom
space-group type = No. 225
V = 71.5 Å³/cell
DFT total energy = -6.496 eV per atom